Entry from the Alexandria database: a relaxed structure of K2HgAu3 (PBE).

Cell lengths 9.6779, 9.4749, 6.5581 Å; angles 71.65, 68.32, 40.03 degrees
Closest atoms and distances in Å follow each position.
Element x y z (fractional)
K  0.2462  0.7538  0.7538  10 Au 3.51-3.60, 2 Hg 3.58
K  0.2500  0.2500  0.2500  4 Hg 3.57, 8 Au 3.58
K  0.7500  0.7500  0.7500  4 Hg 3.57, 8 Au 3.58
K  0.7538  0.2462  0.2462  10 Au 3.51-3.60, 2 Hg 3.58
Hg  0.3339  0.3339  0.6661  3 Au 2.83
Hg  0.6661  0.6661  0.3339  3 Au 2.83
Au  0.1639  0.6718  0.3282  2 Au 2.75-2.76, 1 Hg 2.83
Au  0.1648  0.1648  0.8352  2 Au 2.76, 1 Hg 2.83
Au  0.3282  0.8361  0.1639  2 Au 2.75-2.76, 1 Hg 2.83
Au  0.6718  0.1639  0.8361  2 Au 2.75-2.76, 1 Hg 2.83
Au  0.8352  0.8352  0.1648  2 Au 2.76, 1 Hg 2.83
Au  0.8361  0.3282  0.6718  2 Au 2.75-2.76, 1 Hg 2.83

The calculation puts the theoretical density at 8.05 g cm⁻³. For the raw total energy, the calculation gives -2.32 eV/atom. The formation energy is -0.27 eV per atom. Its space-group type is Fmmm.